First-principles (PBE) data for an optimized crystal structure of NaCuH3, as listed in Alexandria via LeMat-Bulk.

Unit cell a=4.6291 b=5.5693 c=5.5895 alpha=81.79 beta=77.17 gamma=76.69
Closest atoms and distances in Å follow each position.
Space group P1 (No. 1)
Inequivalent atoms, fractional coordinates:
Na (0.0000, 0.0000, 0.0000)  4 H 2.40
Na (0.4972, 0.4975, 0.4988)  4 H 2.34-2.47
Cu (0.2502, 0.4793, 0.0221)  4 H 1.66-1.78
Cu (0.7507, 0.5210, 0.9754)  4 H 1.66-1.78
H (0.0331, 0.6384, 0.7995)  2 Cu 1.66-1.78
H (0.4141, 0.6893, 0.1130)  2 Cu 1.70-1.72
H (0.4661, 0.0152, 0.4445)  1 H 0.76
H (0.5476, 0.9743, 0.5519)  1 H 0.76
H (0.5864, 0.3109, 0.8848)  2 Cu 1.70-1.72
H (0.9675, 0.3625, 0.1987)  2 Cu 1.66-1.78

Relative energy among the computed polymorphs   0.000 eV/atom